## Sc4InGaAg2 (PBE-GGA)

Data for Sc4InGaAg2 after structural relaxation.

Properties
crystal system	trigonal
raw total energy	-5.020	eV per atom
space-group type	R-3m
ΔE_f	-0.4207	eV per atom
ρ	5.8	Mg/m³
V	20.61	A^3/atom

```
data_Sc4InGaAg2
_space_group_name_H-M_alt 'P 1'
_space_group_IT_number 1
_cell_length_a 8.447
_cell_length_b 8.447
_cell_length_c 8.447
_cell_angle_alpha 33.65
_cell_angle_beta 33.65
_cell_angle_gamma 33.65
loop_
_space_group_symop_operation_xyz
'x,y,z'
loop_
_atom_site_label
_atom_site_type_symbol
_atom_site_fract_x
_atom_site_fract_y
_atom_site_fract_z
Sc1 Sc 0.121 0.121 0.121
Sc2 Sc 0.371 0.371 0.371
Sc3 Sc 0.629 0.629 0.629
Sc4 Sc 0.879 0.879 0.879
In1 In 0.500 0.500 0.500
Ga1 Ga 0.000 0.000 0.000
Ag1 Ag 0.246 0.246 0.246
Ag2 Ag 0.754 0.754 0.754
```

## KPd3O4 (PBE-GGA)

Data for KPd3O4 after structural relaxation.

Properties
crystal system	cubic
raw total energy	-5.169	eV per atom
space-group type	Pm-3n
ρ	6.9	Mg/m³
V	12.65	A^3/atom

```
data_KPd3O4
_space_group_name_H-M_alt 'P 1'
_space_group_IT_number 1
_cell_length_a 5.871
_cell_length_b 5.871
_cell_length_c 5.871
_cell_angle_alpha 90.00
_cell_angle_beta 90.00
_cell_angle_gamma 90.00
loop_
_space_group_symop_operation_xyz
'x,y,z'
loop_
_atom_site_label
_atom_site_type_symbol
_atom_site_fract_x
_atom_site_fract_y
_atom_site_fract_z
K1 K 0.000 0.000 0.000
K2 K 0.500 0.500 0.500
Pd1 Pd 0.000 0.250 0.500
Pd2 Pd 0.000 0.750 0.500
Pd3 Pd 0.250 0.500 0.000
Pd4 Pd 0.500 0.000 0.250
Pd5 Pd 0.500 0.000 0.750
Pd6 Pd 0.750 0.500 0.000
O1 O 0.250 0.250 0.250
O2 O 0.250 0.250 0.750
O3 O 0.250 0.750 0.250
O4 O 0.250 0.750 0.750
O5 O 0.750 0.250 0.250
O6 O 0.750 0.250 0.750
O7 O 0.750 0.750 0.250
O8 O 0.750 0.750 0.750
```

## Cs2SmVS4 (PBE-GGA)

Data for Cs2SmVS4 after structural relaxation.

Properties
crystal system	orthorhombic
raw total energy	-5.234	eV per atom
space-group type	Fddd
ρ	3.2	Mg/m³
V	38.39	A^3/atom

```
data_Cs2SmVS4
_space_group_name_H-M_alt 'P 1'
_space_group_IT_number 1
_cell_length_a 14.891
_cell_length_b 13.363
_cell_length_c 8.007
_cell_angle_alpha 84.39
_cell_angle_beta 63.26
_cell_angle_gamma 32.35
loop_
_space_group_symop_operation_xyz
'x,y,z'
loop_
_atom_site_label
_atom_site_type_symbol
_atom_site_fract_x
_atom_site_fract_y
_atom_site_fract_z
Cs1 Cs 0.055 0.055 0.695
Cs2 Cs 0.305 0.305 0.945
Cs3 Cs 0.695 0.695 0.055
Cs4 Cs 0.945 0.945 0.305
Sm1 Sm 0.125 0.125 0.125
Sm2 Sm 0.875 0.875 0.875
V1 V 0.375 0.375 0.375
V2 V 0.625 0.625 0.625
S1 S 0.023 0.631 0.538
S2 S 0.308 0.538 0.631
S3 S 0.369 0.977 0.692
S4 S 0.462 0.692 0.977
S5 S 0.538 0.308 0.023
S6 S 0.631 0.023 0.308
S7 S 0.692 0.462 0.369
S8 S 0.977 0.369 0.462
```

## Mg2SbBr (PBE-GGA)

Data for Mg2SbBr after structural relaxation.

Properties
crystal system	monoclinic
raw total energy	-2.703	eV per atom
space-group type	C2/m
ρ	4.0	Mg/m³
V	25.99	A^3/atom
excess energy over the best structure of this formula in the dataset	0.71	eV per formula unit

```
data_Mg2SbBr
_space_group_name_H-M_alt 'P 1'
_space_group_IT_number 1
_cell_length_a 8.101
_cell_length_b 7.919
_cell_length_c 3.526
_cell_angle_alpha 90.00
_cell_angle_beta 113.18
_cell_angle_gamma 90.00
loop_
_space_group_symop_operation_xyz
'x,y,z'
loop_
_atom_site_label
_atom_site_type_symbol
_atom_site_fract_x
_atom_site_fract_y
_atom_site_fract_z
Mg1 Mg 0.250 0.250 0.000
Mg2 Mg 0.250 0.750 0.000
Mg3 Mg 0.750 0.250 0.000
Mg4 Mg 0.750 0.750 0.000
Sb1 Sb 0.000 0.000 0.500
Sb2 Sb 0.500 0.500 0.500
Br1 Br 0.000 0.500 0.500
Br2 Br 0.500 0.000 0.500
```

## LiUPd5 (PBE-GGA)

Data for LiUPd5 after structural relaxation.

Properties
crystal system	tetragonal
raw total energy	-5.892	eV per atom
space-group type	P4/mmm
ΔE_f	-0.2967	eV per atom
ρ	10.5	Mg/m³
V	17.48	A^3/atom

```
data_LiUPd5
_space_group_name_H-M_alt 'P 1'
_space_group_IT_number 1
_cell_length_a 3.948
_cell_length_b 3.948
_cell_length_c 7.850
_cell_angle_alpha 90.00
_cell_angle_beta 90.00
_cell_angle_gamma 90.00
loop_
_space_group_symop_operation_xyz
'x,y,z'
loop_
_atom_site_label
_atom_site_type_symbol
_atom_site_fract_x
_atom_site_fract_y
_atom_site_fract_z
Li1 Li 0.000 0.000 0.000
U1 U 0.500 0.500 0.500
Pd1 Pd 0.000 0.500 0.256
Pd2 Pd 0.000 0.500 0.744
Pd3 Pd 0.500 0.000 0.256
Pd4 Pd 0.500 0.000 0.744
Pd5 Pd 0.500 0.500 0.000
```

## CsHg2AsRu (PBE-GGA)

Data for CsHg2AsRu after structural relaxation.

Properties
crystal system	tetragonal
raw total energy	-3.181	eV per atom
space-group type	P4/mmm
ΔE_f	-0.1049	eV per atom
ρ	8.3	Mg/m³
V	28.58	A^3/atom

```
data_CsHg2AsRu
_space_group_name_H-M_alt 'P 1'
_space_group_IT_number 1
_cell_length_a 5.511
_cell_length_b 5.511
_cell_length_c 4.704
_cell_angle_alpha 90.00
_cell_angle_beta 90.00
_cell_angle_gamma 90.00
loop_
_space_group_symop_operation_xyz
'x,y,z'
loop_
_atom_site_label
_atom_site_type_symbol
_atom_site_fract_x
_atom_site_fract_y
_atom_site_fract_z
Cs1 Cs 0.000 0.000 0.000
Hg1 Hg 0.000 0.500 0.500
Hg2 Hg 0.500 0.000 0.500
As1 As 0.500 0.500 0.000
Ru1 Ru 0.500 0.500 0.500
```

## UNi4 (PBE-GGA)

Data for UNi4 after structural relaxation.

Properties
crystal system	cubic
raw total energy	-5.411	eV per atom
space-group type	Pm-3m
ΔE_f	1.4722	eV per atom
ρ	8.2	Mg/m³
V	19.06	A^3/atom

```
data_UNi4
_space_group_name_H-M_alt 'P 1'
_space_group_IT_number 1
_cell_length_a 4.568
_cell_length_b 4.568
_cell_length_c 4.568
_cell_angle_alpha 90.00
_cell_angle_beta 90.00
_cell_angle_gamma 90.00
loop_
_space_group_symop_operation_xyz
'x,y,z'
loop_
_atom_site_label
_atom_site_type_symbol
_atom_site_fract_x
_atom_site_fract_y
_atom_site_fract_z
U1 U 0.000 0.000 0.000
Ni1 Ni 0.000 0.000 0.500
Ni2 Ni 0.000 0.500 0.000
Ni3 Ni 0.500 0.000 0.000
Ni4 Ni 0.500 0.500 0.500
```

## Ta2ZnS (PBE-GGA)

Data for Ta2ZnS after structural relaxation.

Properties
crystal system	cubic
raw total energy	-7.134	eV per atom
space-group type	Fm-3m
ρ	12.3	Mg/m³
V	15.54	A^3/atom

```
data_Ta2ZnS
_space_group_name_H-M_alt 'P 1'
_space_group_IT_number 1
_cell_length_a 6.288
_cell_length_b 6.288
_cell_length_c 6.288
_cell_angle_alpha 90.00
_cell_angle_beta 90.00
_cell_angle_gamma 90.00
loop_
_space_group_symop_operation_xyz
'x,y,z'
loop_
_atom_site_label
_atom_site_type_symbol
_atom_site_fract_x
_atom_site_fract_y
_atom_site_fract_z
Ta1 Ta 0.250 0.250 0.250
Ta2 Ta 0.250 0.250 0.750
Ta3 Ta 0.250 0.750 0.250
Ta4 Ta 0.250 0.750 0.750
Ta5 Ta 0.750 0.250 0.250
Ta6 Ta 0.750 0.250 0.750
Ta7 Ta 0.750 0.750 0.250
Ta8 Ta 0.750 0.750 0.750
Zn1 Zn 0.000 0.000 0.000
Zn2 Zn 0.000 0.500 0.500
Zn3 Zn 0.500 0.000 0.500
Zn4 Zn 0.500 0.500 0.000
S1 S 0.000 0.000 0.500
S2 S 0.000 0.500 0.000
S3 S 0.500 0.000 0.000
S4 S 0.500 0.500 0.500
```

## NaTeN2 (PBE-GGA)

Data for NaTeN2 after structural relaxation.

Properties
crystal system	trigonal
raw total energy	-4.127	eV per atom
space-group type	R-3m
ρ	3.7	Mg/m³
V	20.29	A^3/atom
excess energy over the best structure of this formula in the dataset	5.68	eV per formula unit

```
data_NaTeN2
_space_group_name_H-M_alt 'P 1'
_space_group_IT_number 1
_cell_length_a 3.875
_cell_length_b 3.875
_cell_length_c 18.722
_cell_angle_alpha 90.00
_cell_angle_beta 90.00
_cell_angle_gamma 120.00
loop_
_space_group_symop_operation_xyz
'x,y,z'
loop_
_atom_site_label
_atom_site_type_symbol
_atom_site_fract_x
_atom_site_fract_y
_atom_site_fract_z
Na1 Na 0.000 0.000 0.000
Na2 Na 0.333 0.667 0.667
Na3 Na 0.667 0.333 0.333
Te1 Te 0.000 0.000 0.500
Te2 Te 0.333 0.667 0.167
Te3 Te 0.667 0.333 0.833
N1 N 0.000 0.000 0.398
N2 N 0.000 0.000 0.602
N3 N 0.333 0.667 0.065
N4 N 0.333 0.667 0.268
N5 N 0.667 0.333 0.732
N6 N 0.667 0.333 0.935
```

## Ca3B6H16O20 (PBE-GGA)

Data for Ca3B6H16O20 after structural relaxation.

Properties
crystal system	monoclinic
raw total energy	-6.256	eV per atom
space-group type	C2/c
ρ	2.3	Mg/m³
V	8.31	A^3/atom

```
data_Ca3B6H16O20
_space_group_name_H-M_alt 'P 1'
_space_group_IT_number 1
_cell_length_a 8.141
_cell_length_b 8.141
_cell_length_c 13.486
_cell_angle_alpha 112.69
_cell_angle_beta 112.69
_cell_angle_gamma 72.24
loop_
_space_group_symop_operation_xyz
'x,y,z'
loop_
_atom_site_label
_atom_site_type_symbol
_atom_site_fract_x
_atom_site_fract_y
_atom_site_fract_z
Ca1 Ca 0.244 0.432 0.070
Ca2 Ca 0.248 0.752 0.750
Ca3 Ca 0.432 0.244 0.570
Ca4 Ca 0.568 0.756 0.430
Ca5 Ca 0.752 0.248 0.250
Ca6 Ca 0.756 0.568 0.930
B1 B 0.079 0.393 0.830
B2 B 0.106 0.404 0.654
B3 B 0.381 0.429 0.841
B4 B 0.393 0.079 0.330
B5 B 0.404 0.106 0.154
B6 B 0.429 0.381 0.341
B7 B 0.571 0.619 0.659
B8 B 0.596 0.894 0.846
B9 B 0.607 0.921 0.670
B10 B 0.619 0.571 0.159
B11 B 0.894 0.596 0.346
B12 B 0.921 0.607 0.170
H1 H 0.002 0.908 0.561
H2 H 0.009 0.178 0.848
H3 H 0.039 0.680 0.871
H4 H 0.046 0.105 0.654
H5 H 0.047 0.348 0.482
H6 H 0.092 0.998 0.939
H7 H 0.105 0.046 0.154
H8 H 0.120 0.374 0.356
H9 H 0.178 0.009 0.348
H10 H 0.208 0.604 0.336
H11 H 0.320 0.961 0.629
H12 H 0.345 0.613 0.517
H13 H 0.348 0.047 0.982
H14 H 0.374 0.120 0.856
H15 H 0.387 0.655 0.983
H16 H 0.396 0.792 0.164
H17 H 0.604 0.208 0.836
H18 H 0.613 0.345 0.017
H19 H 0.626 0.880 0.144
H20 H 0.652 0.953 0.018
H21 H 0.655 0.387 0.483
H22 H 0.680 0.039 0.371
H23 H 0.792 0.396 0.664
H24 H 0.822 0.991 0.652
H25 H 0.880 0.626 0.644
H26 H 0.895 0.954 0.846
H27 H 0.908 0.002 0.061
H28 H 0.953 0.652 0.518
H29 H 0.954 0.895 0.346
H30 H 0.961 0.320 0.129
H31 H 0.991 0.822 0.152
H32 H 0.998 0.092 0.439
O1 O 0.006 0.585 0.883
O2 O 0.006 0.690 0.126
O3 O 0.009 0.590 0.645
O4 O 0.023 0.335 0.705
O5 O 0.030 0.931 0.860
O6 O 0.069 0.970 0.640
O7 O 0.105 0.282 0.538
O8 O 0.279 0.352 0.877
O9 O 0.282 0.105 0.038
O10 O 0.299 0.419 0.720
O11 O 0.310 0.994 0.374
O12 O 0.335 0.023 0.205
O13 O 0.342 0.576 0.369
O14 O 0.352 0.279 0.377
O15 O 0.373 0.616 0.596
O16 O 0.384 0.627 0.904
O17 O 0.410 0.991 0.855
O18 O 0.415 0.994 0.617
O19 O 0.419 0.299 0.220
O20 O 0.424 0.658 0.131
O21 O 0.576 0.342 0.869
O22 O 0.581 0.701 0.780
O23 O 0.585 0.006 0.383
O24 O 0.590 0.009 0.145
O25 O 0.616 0.373 0.096
O26 O 0.627 0.384 0.404
O27 O 0.648 0.721 0.623
O28 O 0.658 0.424 0.631
O29 O 0.665 0.977 0.795
O30 O 0.690 0.006 0.626
O31 O 0.701 0.581 0.280
O32 O 0.718 0.895 0.962
O33 O 0.721 0.648 0.123
O34 O 0.895 0.718 0.462
O35 O 0.931 0.030 0.360
O36 O 0.970 0.069 0.140
O37 O 0.977 0.665 0.295
O38 O 0.991 0.410 0.355
O39 O 0.994 0.310 0.874
O40 O 0.994 0.415 0.117
```